[1]
This record from Alexandria describes NaCaHf2Pb after structural relaxation. The functional is PBE.

It has space group P4/mmm (No. 123), with a = 5.182 Å, b = 5.182 Å, c = 5.245 Å, α = 90.00°, β = 90.00° and γ = 90.00°. Symmetry generates all atoms from Na at (0.000, 0.000, 0.000), Ca at (0.000, 0.000, 0.500), Hf at (0.000, 0.500, 0.000) and Pb at (0.500, 0.500, 0.500).

Its energy of formation from the pure elements is 1215 meV/atom.

[2]
This record from Alexandria describes Na3Ca2HfS6 after structural relaxation. The functional is PBE.

It has space group C2/m (No. 12), with a = 6.863 Å, b = 11.892 Å, c = 6.995 Å, α = 90.00°, β = 109.34° and γ = 90.00°. Symmetry generates all atoms from Na at (0.000, 0.000, 0.000), Na at (0.000, 0.330, 0.000), Ca at (0.000, 0.167, 0.500), Hf at (0.000, 0.500, 0.500), S at (0.229, 0.346, 0.726) and S at (0.232, 0.500, 0.277).

The value obtained for the formation energy without anion corrections is -1525 meV per atom.

[3]
This record from Alexandria describes Na2CaHfS4 after structural relaxation. The functional is PBE.

It has space group P2/m (No. 10), with a = 6.820 Å, b = 3.859 Å, c = 6.987 Å, α = 90.00°, β = 108.22° and γ = 90.00°. Symmetry generates all atoms from Na at (0.000, 0.000, 0.000), Na at (0.500, 0.500, 0.000), Ca at (0.000, 0.500, 0.500), Hf at (0.500, 0.000, 0.500), S at (0.268, 0.000, 0.723) and S at (0.281, 0.500, 0.282).

The value obtained for the formation energy without anion corrections is -1616 meV per atom.

[4]
This record from Alexandria describes Na2CaHfSe4 after structural relaxation. The functional is PBE.

It has space group P2/m (No. 10), with a = 7.115 Å, b = 4.028 Å, c = 7.322 Å, α = 90.00°, β = 108.00° and γ = 90.00°. Symmetry generates all atoms from Na at (0.000, 0.000, 0.000), Na at (0.500, 0.500, 0.000), Ca at (0.000, 0.500, 0.500), Hf at (0.500, 0.000, 0.500), Se at (0.267, 0.000, 0.726) and Se at (0.279, 0.500, 0.280).

The value obtained for the formation energy without anion corrections is -1459 meV per atom.

[5]
This record from Alexandria describes Na2CaHfTc after structural relaxation. The functional is PBE.

It has space group P4/mmm (No. 123), with a = 5.612 Å, b = 5.612 Å, c = 4.767 Å, α = 90.00°, β = 90.00° and γ = 90.00°. Symmetry generates all atoms from Na at (0.000, 0.500, 0.000), Ca at (0.000, 0.000, 0.500), Hf at (0.500, 0.500, 0.500) and Tc at (0.500, 0.500, 0.000).

Its energy of formation from the pure elements is 770 meV/atom.

[6]
This record from Alexandria describes Na3Ca2HfTe6 after structural relaxation. The functional is PBE.

It has space group C2/m (No. 12), with a = 7.638 Å, b = 13.244 Å, c = 7.926 Å, α = 90.00°, β = 108.89° and γ = 90.00°. Symmetry generates all atoms from Na at (0.000, 0.000, 0.000), Na at (0.000, 0.328, 0.000), Ca at (0.000, 0.166, 0.500), Hf at (0.000, 0.500, 0.500), Te at (0.232, 0.345, 0.730) and Te at (0.232, 0.500, 0.270).

The value obtained for the formation energy without anion corrections is -1079 meV per atom.